Crystalline YEr3Ru2 at its relaxed geometry. Source: Alexandria, functional PBE.

Unit cell a=6.6809 b=13.4270 c=6.9661 alpha=90.00 beta=90.00 gamma=90.00
With the nearest neighbours (Å) after each atom.
Space group Ibam (No. 72)
One atom of each set of equivalent atoms:
Y  0.0000  0.0000  0.0000  2 Ru 2.61
Er  0.0000  0.2359  0.2500  4 Ru 2.86-2.89
Er  0.0000  0.5000  0.2500  4 Ru 2.91
Ru  0.2192  0.3646  0.0000  1 Y 2.61, 6 Er 2.86-2.91

Values from the calculation:
Calculated total energy (Ry per atom): -0.4926
Excess energy over the best structure of this formula in the dataset (meV/atom): 122



Crystalline CSe2 at its relaxed geometry. Source: Alexandria, functional PBE.

Unit cell a=3.0136 b=3.0136 c=13.2148 alpha=90.00 beta=90.00 gamma=120.00
With the nearest neighbours (Å) after each atom.
Space group P6_3/mmc (No. 194)
One atom of each set of equivalent atoms:
C  0.3333  0.6667  0.2500  6 Se 2.31
Se  0.0000  0.0000  0.1348  3 C 2.31

Values from the calculation:
Formation energy without anion corrections (eV/atom): 1.587
Calculated total energy (Ry per atom): -0.2801
Excess energy over the best structure of this formula in the dataset (meV/atom): 1026



Crystalline LaPr2Ho4Sc at its relaxed geometry. Source: Alexandria, functional PBE.

Unit cell a=6.7745 b=11.7819 c=13.1407 alpha=90.00 beta=90.00 gamma=90.00
With the nearest neighbours (Å) after each atom.
Space group Imma (No. 74)
One atom of each set of equivalent atoms:
La  0.0000  0.0000  0.0000  6 Ho 3.29-3.41, 2 Pr 3.39
Pr  0.0000  0.0000  0.5000  6 Ho 3.29-3.40, 2 La 3.39
Pr  0.2500  0.2500  0.2500  2 Pr 3.39, 6 Ho 3.48-3.57
Ho  0.0000  0.0165  0.7502  2 Sc 3.23, 1 La 3.29, 3 Pr 3.29-3.57, 2 Ho 3.39
Ho  0.2489  0.2500  0.5150  1 Sc 3.09, 2 Ho 3.37-3.40, 2 Pr 3.40, 2 La 3.41
Sc  0.2500  0.2500  0.7500  6 Ho 3.09-3.23, 2 Sc 3.39

Values from the calculation:
Calculated total energy (Ry per atom): -0.3306



Crystalline YV2Cu at its relaxed geometry. Source: Alexandria, functional PBE.

Unit cell a=6.3971 b=6.3971 c=6.3971 alpha=90.00 beta=90.00 gamma=90.00
With the nearest neighbours (Å) after each atom.
Space group Fm-3m (No. 225)
One atom of each set of equivalent atoms:
Y  0.0000  0.0000  0.0000  8 V 2.77
V  0.2500  0.2500  0.2500  4 Cu 2.77, 4 Y 2.77
Cu  0.0000  0.0000  0.5000  8 V 2.77

Values from the calculation:
Calculated total energy (Ry per atom): -0.4801
Excess energy over the best structure of this formula in the dataset (meV/atom): 59



Crystalline PrThNi4 at its relaxed geometry. Source: Alexandria, functional PBE.

Unit cell a=3.8650 b=4.1037 c=7.0469 alpha=90.00 beta=90.00 gamma=90.00
With the nearest neighbours (Å) after each atom.
Space group Pmmm (No. 47)
One atom of each set of equivalent atoms:
Pr  0.0000  0.0000  0.0000  12 Ni 3.05-3.07
Th  0.0000  0.5000  0.5000  12 Ni 3.02-3.05
Ni  0.5000  0.0000  0.3354  3 Ni 2.32-2.36
Ni  0.5000  0.5000  0.1711  3 Ni 2.36-2.41

Values from the calculation:
Calculated total energy (Ry per atom): -0.4591
Excess energy over the best structure of this formula in the dataset (meV/atom): 0



Crystalline MgScTe at its relaxed geometry. Source: Alexandria, functional PBE.

Unit cell a=4.7203 b=4.7203 c=28.3282 alpha=90.00 beta=90.00 gamma=120.00
With the nearest neighbours (Å) after each atom.
Space group R-3m (No. 166, hexagonal axes)
One atom of each set of equivalent atoms:
Mg  0.0000  0.0000  0.1689  3 Mg 2.73, 1 Te 2.90
Sc  0.0000  0.0000  0.4377  3 Te 2.98, 6 Mg 3.21-3.28
Te  0.0000  0.0000  0.2714  1 Mg 2.90, 3 Sc 2.98

Values from the calculation:
Formation energy without anion corrections (eV/atom): -0.550
Calculated total energy (Ry per atom): -0.3116
Excess energy over the best structure of this formula in the dataset (meV/atom): 0



Crystalline Zr6Cu3N at its relaxed geometry. Source: Alexandria, functional PBE.

Unit cell a=5.8099 b=7.0290 c=10.3349 alpha=90.00 beta=119.53 gamma=90.00
With the nearest neighbours (Å) after each atom.
Space group P2_1/c (No. 14)
One atom of each set of equivalent atoms:
Zr  0.0725  0.0430  0.2344  1 N 2.27
Zr  0.1856  0.7087  0.0640  1 N 2.26
Zr  0.3900  0.1472  0.0577  1 N 2.29
Cu  0.3265  0.1201  0.7392  6 Zr 2.65-2.82
Cu  0.5000  0.0000  0.5000  6 Zr 2.66-2.70
N  0.0000  0.0000  0.0000  6 Zr 2.26-2.29

Values from the calculation:
Formation energy without anion corrections (eV/atom): -0.343
Calculated total energy (Ry per atom): -0.5537



Crystalline LiTmSnRh at its relaxed geometry. Source: Alexandria, functional PBE.

Unit cell a=6.6410 b=6.6410 c=6.6410 alpha=90.00 beta=90.00 gamma=90.00
With the nearest neighbours (Å) after each atom.
Space group F-43m (No. 216)
One atom of each set of equivalent atoms:
Li  0.0000  0.0000  0.0000  4 Tm 2.88, 4 Sn 2.88
Tm  0.2500  0.2500  0.2500  4 Li 2.88, 4 Rh 2.88
Sn  0.2500  0.2500  0.7500  4 Li 2.88, 4 Rh 2.88
Rh  0.0000  0.0000  0.5000  4 Sn 2.88, 4 Tm 2.88

Values from the calculation:
Calculated total energy (Ry per atom): -0.3795



Crystalline CeZrTcPd at its relaxed geometry. Source: Alexandria, functional PBE.

Unit cell a=6.8163 b=6.8163 c=6.8163 alpha=90.00 beta=90.00 gamma=90.00
With the nearest neighbours (Å) after each atom.
Space group F-43m (No. 216)
One atom of each set of equivalent atoms:
Ce  0.0000  0.0000  0.0000  4 Tc 2.95, 4 Pd 2.95
Zr  0.0000  0.0000  0.5000  4 Tc 2.95, 4 Pd 2.95
Tc  0.2500  0.2500  0.2500  4 Zr 2.95, 4 Ce 2.95
Pd  0.2500  0.2500  0.7500  4 Zr 2.95, 4 Ce 2.95

Values from the calculation:
Calculated total energy (Ry per atom): -0.5780



Crystalline ZrCdSi2 at its relaxed geometry. Source: Alexandria, functional PBE.

Unit cell a=3.1521 b=3.1521 c=26.6553 alpha=90.00 beta=90.00 gamma=120.00
With the nearest neighbours (Å) after each atom.
Space group R-3m (No. 166, hexagonal axes)
One atom of each set of equivalent atoms:
Zr  0.0000  0.0000  0.0000  6 Si 2.82, 6 Zr 3.15
Cd  0.0000  0.0000  0.5000  6 Si 2.92, 6 Cd 3.15
Si  0.0000  0.0000  0.2525  3 Zr 2.82, 3 Cd 2.92, 6 Si 3.15

Values from the calculation:
Formation energy without anion corrections (eV/atom): 0.081
Calculated total energy (Ry per atom): -0.3672



Crystalline YTaW2 at its relaxed geometry. Source: Alexandria, functional PBE.

Unit cell a=6.6830 b=6.6830 c=6.6830 alpha=90.00 beta=90.00 gamma=90.00
With the nearest neighbours (Å) after each atom.
Space group F-43m (No. 216)
One atom of each set of equivalent atoms:
Y  0.0000  0.0000  0.0000  4 Ta 2.89, 4 W 2.89
Ta  0.2500  0.2500  0.2500  4 W 2.89, 4 Y 2.89
W  0.0000  0.0000  0.5000  4 Ta 2.89, 4 W 2.89
W  0.2500  0.2500  0.7500  4 W 2.89, 4 Y 2.89

Values from the calculation:
Calculated total energy (Ry per atom): -0.7784
Excess energy over the best structure of this formula in the dataset (meV/atom): 157



Crystalline Sm2BiRu at its relaxed geometry. Source: Alexandria, functional PBE.

Unit cell a=3.9042 b=3.9042 c=25.7474 alpha=90.00 beta=90.00 gamma=120.00
With the nearest neighbours (Å) after each atom.
Space group R-3m (No. 166, hexagonal axes)
One atom of each set of equivalent atoms:
Sm  0.0000  0.0000  0.2322  3 Ru 2.82
Bi  0.0000  0.0000  0.0000  6 Sm 3.44
Ru  0.0000  0.0000  0.5000  6 Sm 2.82

Values from the calculation:
Calculated total energy (Ry per atom): -0.4340
Excess energy over the best structure of this formula in the dataset (meV/atom): 220